{"formula": "Fe2SiHg", "functional": "PBE-GGA", "state": "relaxed", "formation_energy_uncorrected_ev_per_atom": 0.33, "polymorph_energy_mev_per_atom": 257, "cell": [[-3.619, 1.934, 3.086], [-2.417, -3.186, 3.220], [4.524, 1.949, -1.449]], "species": ["Fe", "Fe", "Hg", "Si"], "frac_coords": [[0.013, 0.013, 0.000], [0.772, 0.272, 0.500], [0.493, 0.493, 0.000], [0.223, 0.723, 0.500]]}

{"formula": "NaSb2Se2", "functional": "PBE-GGA", "state": "relaxed", "formation_energy_uncorrected_ev_per_atom": -0.20, "polymorph_energy_mev_per_atom": 0, "cell": [[-0.775, -4.620, -3.264], [4.136, -2.710, 2.854], [-1.418, -5.253, 2.778]], "species": ["Sb", "Sb", "Se", "Se", "Na"], "frac_coords": [[0.334, 0.334, 0.332], [0.666, 0.666, 0.668], [0.750, 0.250, 0.500], [0.250, 0.750, 0.500], [0.000, 0.000, 0.000]]}

{"formula": "Tm4Al5Si2", "functional": "PBE-GGA", "state": "relaxed", "formation_energy_uncorrected_ev_per_atom": -0.49, "cell": [[4.251, 0.000, 0.000], [0.000, 6.784, -0.168], [0.000, 0.750, 7.952]], "species": ["Tm", "Tm", "Tm", "Tm", "Al", "Al", "Al", "Al", "Al", "Si", "Si"], "frac_coords": [[0.500, 0.238, 0.590], [0.500, 0.789, 0.864], [0.500, 0.762, 0.410], [0.500, 0.211, 0.136], [0.000, 0.455, 0.336], [0.000, 0.860, 0.130], [0.000, 0.500, 0.000], [0.000, 0.140, 0.870], [0.000, 0.545, 0.664], [0.000, 0.918, 0.633], [0.000, 0.082, 0.367]]}

{"formula": "Mn2Be", "functional": "PBE-GGA", "state": "relaxed", "cell": [[1.956, -3.388, 0.000], [1.956, 3.388, 0.000], [0.000, 0.000, 4.576]], "species": ["Mn", "Mn", "Mn", "Mn", "Be", "Be"], "frac_coords": [[0.000, 0.000, 0.000], [0.000, 0.000, 0.500], [0.333, 0.667, 0.250], [0.667, 0.333, 0.750], [0.667, 0.333, 0.250], [0.333, 0.667, 0.750]]}

no.,total DFT energy (no corrections) (eV/atom),M_tot (μB per cell)
1,-5.328,4.334
2,-3.508,0.000
3,-4.801,0.000
4,-7.355,4.571